Compound: CeThIrRh
Source: Alexandria via LeMat-Bulk
Functional: PBE-GGA
Structure: relaxed

a b c (Å): 4.994 4.994 4.994
angles (deg): 60.00 60.00 60.00
Last column: magnetic moment on the atom in μB.
Positions (direct):
Th (0.750, 0.750, 0.750)  0.07
Ce (0.250, 0.250, 0.250)  0.55
Rh (0.000, 0.000, 0.000)  -0.02
Ir (0.500, 0.500, 0.500)  -0.02

Properties
ρ in kg/m3: 12584
Energy in eV/cell: -32.39
SG: F-43m, No. 216
Energy relative to the lowest polymorph listed for this composition in meV/atom: 111
V in Å³ per cell: 88
M_tot in μB/atom: 0.1850